Record 1
First-principles (GGA-PBE) data for a relaxed structure of Pu2ZnFe2Co5, as listed in the Alexandria database.

## Properties
- Energy: -0.609 Ry per atom

a = 8.4815 Å, b = 8.4815 Å, c = 3.8570 Å
α = 90.00°, β = 90.00°, γ = 90.00°
Space group P4/mbm (No. 127)
Asymmetric unit:
Pu  0.1775  0.3225  0.0000
Zn  0.0000  0.0000  0.0000
Fe  0.1250  0.6250  0.0000
Co  0.0000  0.5000  0.5000
Co  0.0647  0.8010  0.5000

=====

Record 2
First-principles (GGA-PBE) data for a relaxed structure of PuZnFeCo, as listed in the Alexandria database.

## Properties
- Energy: -0.573 Ry per atom

a = 6.2122 Å, b = 6.2122 Å, c = 6.2122 Å
α = 90.00°, β = 90.00°, γ = 90.00°
Space group F-43m (No. 216)
Asymmetric unit:
Pu  0.0000  0.0000  0.0000
Zn  0.0000  0.0000  0.5000
Fe  0.2500  0.2500  0.2500
Co  0.2500  0.2500  0.7500

=====

Record 3
First-principles (GGA-PBE) data for a relaxed structure of PuZrFeCo, as listed in the Alexandria database.

## Properties
- Energy: -0.708 Ry per atom

a = 6.4975 Å, b = 6.4975 Å, c = 6.4975 Å
α = 90.00°, β = 90.00°, γ = 90.00°
Space group F-43m (No. 216)
Asymmetric unit:
Pu  0.0000  0.0000  0.0000
Zr  0.0000  0.0000  0.5000
Fe  0.2500  0.2500  0.7500
Co  0.2500  0.2500  0.2500